Record 1
## YSbCl2 (GGA-PBE)

Data for a relaxed YSbCl2 crystal.

Results
- energy above the lowest structure with this stoichiometry (eV/f.u.) = 2.91
- formation energy (no corrections) (eV per atom) = -0.595
- VASP energy (eV per atom) = -4.17

POSCAR file:
```
YSbCl2
1.0
2.0463 0.0000 10.0831
-1.0231 1.7721 10.0831
-1.0231 -1.7721 10.0831
Y Cl Sb
1 2 1
Cartesian
0.0000 0.0000 0.0000
0.0000 0.0000 2.5683
0.0000 0.0000 27.6810
0.0000 0.0000 15.1247
```

***

Record 2
## YSbCl4 (GGA-PBE)

Data for a relaxed YSbCl4 crystal.

Results
- formation energy (no corrections) (eV per atom) = -0.138
- VASP energy (eV per atom) = -3.13

POSCAR file:
```
YSbCl4
1.0
3.4529 -0.7203 4.6625
-1.8749 -3.1258 4.5710
2.3453 -5.2370 1.1195
Cl Sb Y
4 1 1
Cartesian
0.5324 -4.9695 6.1689
3.1990 -3.7656 6.2146
2.6446 -6.0262 4.4414
1.4708 -3.4050 3.8811
2.9425 -6.8124 7.7647
0.0000 0.0000 0.0000
```